No. 1
Material: ScZnInFe
Method: DFT, GGA-PBE
State: optimized geometry

Computed properties:
Distance to the lowest polymorph of the same formula: 0.0 meV per atom

a = 4.594 Å, b = 4.594 Å, c = 4.594 Å
α = 60.00°, β = 60.00°, γ = 60.00°
Positions (direct):
Sc1 0.000 0.000 0.000
Zn1 0.750 0.750 0.750
In1 0.500 0.500 0.500
Fe1 0.250 0.250 0.250

***

No. 2
Material: Ag2SnTe3
Method: DFT, GGA-PBE
State: optimized geometry

Computed properties:
Distance to the lowest polymorph of the same formula: 0.0 meV per atom

a = 7.939 Å, b = 7.939 Å, c = 7.889 Å
α = 98.88°, β = 98.88°, γ = 120.88°
Positions (direct):
Ag1 0.085 0.915 0.500
Ag2 0.225 0.698 0.970
Ag3 0.698 0.225 0.470
Ag4 0.915 0.085 0.000
Sn1 0.370 0.546 0.462
Sn2 0.546 0.370 0.962
Te1 0.174 0.997 0.868
Te2 0.337 0.842 0.340
Te3 0.532 0.690 0.847
Te4 0.690 0.532 0.347
Te5 0.842 0.337 0.840
Te6 0.997 0.174 0.368

***

No. 3
Material: HoTm2Ni4Ge4
Method: DFT, GGA-PBE
State: optimized geometry

Computed properties:
Total energy: -5.6849 eV per atom

a = 7.762 Å, b = 7.762 Å, c = 7.762 Å
α = 149.79°, β = 128.77°, γ = 60.63°
Positions (direct):
Ho1 0.000 0.000 0.000
Tm1 0.371 0.871 0.500
Tm2 0.629 0.129 0.500
Ni1 0.019 0.323 0.696
Ni2 0.373 0.677 0.696
Ni3 0.627 0.323 0.304
Ni4 0.981 0.677 0.304
Ge1 0.218 0.218 0.000
Ge2 0.307 0.500 0.807
Ge3 0.693 0.500 0.193
Ge4 0.782 0.782 0.000

***

No. 4
Material: PrTlSb
Method: DFT, GGA-PBE
State: optimized geometry

Computed properties:
Total energy: -3.9442 eV per atom

a = 5.225 Å, b = 5.225 Å, c = 5.225 Å
α = 60.00°, β = 60.00°, γ = 60.00°
Positions (direct):
Pr1 0.000 0.000 0.000
Tl1 0.250 0.250 0.250
Sb1 0.500 0.500 0.500

***

No. 5
Material: MoH2
Method: DFT, GGA-PBE
State: optimized geometry

Computed properties:
Distance to the lowest polymorph of the same formula: 8.2 meV per atom

a = 3.110 Å, b = 3.110 Å, c = 3.110 Å
α = 60.00°, β = 60.00°, γ = 60.00°
Positions (direct):
Mo1 0.000 0.000 0.000
H1 0.250 0.250 0.250
H2 0.750 0.750 0.750

***

No. 6
Material: Tm2As
Method: DFT, GGA-PBE
State: optimized geometry

Computed properties:
Total energy: -4.3737 eV per atom

a = 6.009 Å, b = 6.009 Å, c = 6.009 Å
α = 60.00°, β = 60.00°, γ = 60.00°
Positions (direct):
Tm1 0.000 0.000 0.000
Tm2 0.000 0.000 0.500
Tm3 0.000 0.500 0.000
Tm4 0.500 0.000 0.000
As1 0.375 0.375 0.375
As2 0.625 0.625 0.625

***

No. 7
Material: LaNi2Sn
Method: DFT, GGA-PBE
State: optimized geometry

Computed properties:
Total energy: -5.2510 eV per atom

a = 4.688 Å, b = 4.688 Å, c = 3.453 Å
α = 90.00°, β = 90.00°, γ = 90.00°
Positions (direct):
La1 0.000 0.000 0.000
Ni1 0.000 0.500 0.500
Ni2 0.500 0.000 0.500
Sn1 0.500 0.500 0.000

***

No. 8
Material: HfZr2
Method: DFT, GGA-PBE
State: optimized geometry

Computed properties:
Formation enthalpy at 0 K: 3102 meV per atom

a = 8.311 Å, b = 8.311 Å, c = 8.311 Å
α = 60.00°, β = 60.00°, γ = 60.00°
Positions (direct):
Hf1 0.125 0.125 0.125
Hf2 0.875 0.875 0.875
Zr1 0.000 0.000 0.000
Zr2 0.000 0.000 0.500
Zr3 0.000 0.500 0.000
Zr4 0.500 0.000 0.000

***

No. 9
Material: In8Ir2Se
Method: DFT, GGA-PBE
State: optimized geometry

Computed properties:
Total energy: -4.1562 eV per atom

a = 10.093 Å, b = 10.093 Å, c = 10.258 Å
α = 90.00°, β = 90.00°, γ = 90.00°
Positions (direct):
In1 0.000 0.000 0.164
In2 0.000 0.000 0.836
In3 0.053 0.296 0.298
In4 0.053 0.296 0.702
In5 0.095 0.905 0.500
In6 0.188 0.812 0.000
In7 0.201 0.201 0.000
In8 0.204 0.553 0.202
In9 0.204 0.553 0.798
In10 0.296 0.053 0.298
In11 0.296 0.053 0.702
In12 0.299 0.701 0.500
In13 0.312 0.312 0.500
In14 0.405 0.405 0.000
In15 0.447 0.796 0.202
In16 0.447 0.796 0.798
In17 0.500 0.500 0.336
In18 0.500 0.500 0.664
In19 0.553 0.204 0.202
In20 0.553 0.204 0.798
In21 0.595 0.595 0.000
In22 0.688 0.688 0.500
In23 0.701 0.299 0.500
In24 0.704 0.947 0.298
In25 0.704 0.947 0.702
In26 0.796 0.447 0.202
In27 0.796 0.447 0.798
In28 0.799 0.799 0.000
In29 0.812 0.188 0.000
In30 0.905 0.095 0.500
In31 0.947 0.704 0.298
In32 0.947 0.704 0.702
Ir1 0.186 0.814 0.260
Ir2 0.186 0.814 0.740
Ir3 0.314 0.314 0.240
Ir4 0.314 0.314 0.760
Ir5 0.686 0.686 0.240
Ir6 0.686 0.686 0.760
Ir7 0.814 0.186 0.260
Ir8 0.814 0.186 0.740
Se1 0.000 0.500 0.000
Se2 0.000 0.500 0.500
Se3 0.500 0.000 0.000
Se4 0.500 0.000 0.500

***

No. 10
Material: CsScPt
Method: DFT, GGA-PBE
State: optimized geometry

Computed properties:
Distance to the lowest polymorph of the same formula: 664.1 meV per atom

a = 4.861 Å, b = 4.861 Å, c = 4.861 Å
α = 60.00°, β = 60.00°, γ = 60.00°
Positions (direct):
Cs1 0.000 0.000 0.000
Sc1 0.250 0.250 0.250
Pt1 0.750 0.750 0.750

***

No. 11
Material: LaErO3
Method: DFT, GGA-PBE
State: optimized geometry

Computed properties:
Total energy: -8.3863 eV per atom

a = 6.020 Å, b = 8.375 Å, c = 5.823 Å
α = 90.00°, β = 90.00°, γ = 90.00°
Positions (direct):
La1 0.050 0.250 0.014
La2 0.450 0.750 0.514
La3 0.550 0.250 0.486
La4 0.950 0.750 0.986
Er1 0.000 0.000 0.500
Er2 0.000 0.500 0.500
Er3 0.500 0.000 0.000
Er4 0.500 0.500 0.000
O1 0.057 0.750 0.374
O2 0.192 0.566 0.810
O3 0.192 0.934 0.810
O4 0.308 0.066 0.310
O5 0.308 0.434 0.310
O6 0.443 0.250 0.874
O7 0.557 0.750 0.126
O8 0.692 0.566 0.690
O9 0.692 0.934 0.690
O10 0.808 0.066 0.190
O11 0.808 0.434 0.190
O12 0.943 0.250 0.626

***

No. 12
Material: BeTlZn
Method: DFT, GGA-PBE
State: optimized geometry

Computed properties:
Total energy: -1.8308 eV per atom

a = 4.350 Å, b = 4.350 Å, c = 4.350 Å
α = 60.00°, β = 60.00°, γ = 60.00°
Positions (direct):
Be1 0.000 0.000 0.000
Tl1 0.250 0.250 0.250
Zn1 0.500 0.500 0.500

***

No. 13
Material: Al2Si2W
Method: DFT, GGA-PBE
State: optimized geometry

Computed properties:
Total energy: -5.8165 eV per atom

a = 6.641 Å, b = 6.641 Å, c = 6.641 Å
α = 149.25°, β = 149.25°, γ = 44.04°
Positions (direct):
Al1 0.250 0.750 0.500
Al2 0.750 0.250 0.500
Si1 0.097 0.097 0.000
Si2 0.903 0.903 0.000
W1 0.500 0.500 0.000

***

No. 14
Material: NpOsW
Method: DFT, GGA-PBE
State: optimized geometry

Computed properties:
Formation enthalpy at 0 K: 737 meV per atom

a = 4.423 Å, b = 4.423 Å, c = 4.423 Å
α = 60.00°, β = 60.00°, γ = 60.00°
Positions (direct):
Np1 0.000 0.000 0.000
Os1 0.250 0.250 0.250
W1 0.500 0.500 0.500

***

No. 15
Material: HoTaSi
Method: DFT, GGA-PBE
State: optimized geometry

Computed properties:
Total energy: -6.1139 eV per atom

a = 4.750 Å, b = 4.750 Å, c = 4.750 Å
α = 60.00°, β = 60.00°, γ = 60.00°
Positions (direct):
Ho1 0.000 0.000 0.000
Ta1 0.250 0.250 0.250
Si1 0.750 0.750 0.750

***

No. 16
Material: TmAsN2O
Method: DFT, GGA-PBE
State: optimized geometry

Computed properties:
Total energy: -6.9556 eV per atom

a = 6.294 Å, b = 6.294 Å, c = 11.111 Å
α = 90.00°, β = 90.00°, γ = 120.00°
Positions (direct):
Tm1 0.000 0.000 0.000
Tm2 0.000 0.000 0.500
Tm3 0.333 0.667 0.468
Tm4 0.333 0.667 0.968
Tm5 0.667 0.333 0.468
Tm6 0.667 0.333 0.968
As1 0.000 0.334 0.232
As2 0.000 0.666 0.732
As3 0.334 0.000 0.232
As4 0.334 0.334 0.732
As5 0.666 0.000 0.732
As6 0.666 0.666 0.232
N1 0.000 0.312 0.389
N2 0.000 0.355 0.076
N3 0.000 0.645 0.576
N4 0.000 0.688 0.889
N5 0.312 0.000 0.389
N6 0.312 0.312 0.889
N7 0.355 0.000 0.076
N8 0.355 0.355 0.576
N9 0.645 0.000 0.576
N10 0.645 0.645 0.076
N11 0.688 0.000 0.889
N12 0.688 0.688 0.389
O1 0.000 0.000 0.209
O2 0.000 0.000 0.709
O3 0.333 0.667 0.251
O4 0.333 0.667 0.751
O5 0.667 0.333 0.251
O6 0.667 0.333 0.751

***

No. 17
Material: LiGa2Ni
Method: DFT, GGA-PBE
State: optimized geometry

Computed properties:
Distance to the lowest polymorph of the same formula: 180.3 meV per atom

a = 4.224 Å, b = 4.224 Å, c = 4.224 Å
α = 60.00°, β = 60.00°, γ = 60.00°
Positions (direct):
Li1 0.000 0.000 0.000
Ga1 0.500 0.500 0.500
Ga2 0.750 0.750 0.750
Ni1 0.250 0.250 0.250

***

No. 18
Material: Y4ZnPN2
Method: DFT, GGA-PBE
State: optimized geometry

Computed properties:
Total energy: -7.2785 eV per atom

a = 3.593 Å, b = 3.593 Å, c = 13.794 Å
α = 90.00°, β = 90.00°, γ = 120.00°
Positions (direct):
Y1 0.000 0.000 0.135
Y2 0.000 0.000 0.865
Y3 0.333 0.667 0.333
Y4 0.333 0.667 0.667
Zn1 0.000 0.000 0.500
P1 0.333 0.667 0.000
N1 0.667 0.333 0.235
N2 0.667 0.333 0.765

***

No. 19
Material: SmFe2C6
Method: DFT, GGA-PBE
State: optimized geometry

Computed properties:
Total energy: -7.8742 eV per atom

a = 5.644 Å, b = 5.644 Å, c = 5.644 Å
α = 146.15°, β = 122.00°, γ = 68.88°
Positions (direct):
Sm1 0.000 0.000 0.000
Fe1 0.274 0.774 0.500
Fe2 0.726 0.226 0.500
C1 0.130 0.355 0.776
C2 0.364 0.500 0.864
C3 0.421 0.645 0.776
C4 0.579 0.355 0.224
C5 0.636 0.500 0.136
C6 0.870 0.645 0.224

***

No. 20
Material: Pr2GdO3
Method: DFT, GGA-PBE
State: optimized geometry

Computed properties:
Total energy: -7.5919 eV per atom

a = 3.515 Å, b = 3.515 Å, c = 8.762 Å
α = 90.00°, β = 90.00°, γ = 120.00°
Positions (direct):
Pr1 0.333 0.667 0.170
Pr2 0.667 0.333 0.830
Gd1 0.000 0.000 0.500
O1 0.000 0.000 0.000
O2 0.333 0.667 0.643
O3 0.667 0.333 0.357